An optimized crystal structure of NdScCo2H8. Source: the Alexandria database, functional GGA-PBE.

Lattice parameters (Å, degrees): 6.1127 6.1127 6.1127 44.40 44.40 44.40
Element x y z (fractional)
Nd (0.0000, 0.0000, 0.0000)
Sc (0.5000, 0.5000, 0.5000)
Co (0.1929, 0.1929, 0.1929)
Co (0.8071, 0.8071, 0.8071)
H (0.0777, 0.8762, 0.4009)
H (0.1238, 0.5991, 0.9223)
H (0.2963, 0.2963, 0.2963)
H (0.4009, 0.0777, 0.8762)
H (0.5991, 0.9223, 0.1238)
H (0.7037, 0.7037, 0.7037)
H (0.8762, 0.4009, 0.0777)
H (0.9223, 0.1238, 0.5991)

Values from the calculation:
The magnetization is 0.00 Bohr magnetons per cell. The density is 5.1 g/cm³. Its symmetry is R-3 (148). As for the density of states at the Fermi level: 2.2 states/eV/f.u. Its total energy is -0.16966 hartree per atom.